The following is a DFT calculation (PBE) of a relaxed CsBaTlBi crystal.

Cell lengths 6.1940, 6.1940, 6.1940 Å; angles 60.00, 60.00, 60.00 degrees
Fractional positions:
1 Cs 0.0000 0.0000 0.0000
2 Ba 0.2500 0.2500 0.2500
3 Tl 0.7500 0.7500 0.7500
4 Bi 0.5000 0.5000 0.5000

Properties
The space-group type is F-43m. As for the formation energy from the elements: -0.274 eV/atom. As for the final energy: -2.530 eV/atom. The spin magnetization is 0.00 μB per formula unit. Its crystal system is cubic.